The following is a PBE-GGA calculation of SrGa2SnRu after structural relaxation, from the Alexandria database.

## Properties
The value obtained for the calculated density is 6.09 g cm⁻³. For the total energy, the calculation gives -22.45 eV/f.u. The energy of formation comes out at -0.29 eV per atom.

Unit cell a=4.837 b=4.837 c=5.206 alpha=90.00 beta=90.00 gamma=90.00
Space group P4/mmm (No. 123)
One atom of each set of equivalent atoms:
Sr1 0.000 0.000 0.000 x1
Ga1 0.000 0.500 0.500 x2
Sn1 0.500 0.500 0.000 x1
Ru1 0.500 0.500 0.500 x1